4
Lattice="-0.341 4.560 -0.091 -1.189 -0.013 3.797 3.786 0.307 1.186" Properties=species:S:1:pos:R:3 comment="InMo2Se (GGA-PBE, optimized geometry)" spacegroup="P4/mmm (123)" e_above_lowest_polymorph_ev_per_fu=2.55 e_form_raw_ev_per_atom=0.71 pbc="T T T"
In 1.722 2.434 0.548
Mo 0.000 0.000 0.000
Mo 1.298 0.147 2.492
Se -0.765 2.274 1.853

=====

4
Lattice="3.073 0.000 0.000 0.000 3.073 0.000 0.000 0.000 8.858" Properties=species:S:1:pos:R:3 comment="In2MoSe (GGA-PBE, optimized geometry)" spacegroup="P4/mmm (123)" e_form_raw_ev_per_atom=0.41 pbc="T T T"
In 0.000 0.000 0.245
In 0.000 0.000 4.184
Mo 1.536 1.536 2.215
Se 1.536 1.536 6.644

=====

4
Lattice="6.991 0.037 0.117 -2.853 4.406 -0.006 1.286 0.836 2.641" Properties=species:S:1:pos:R:3 comment="In2MoSe (GGA-PBE, optimized geometry)" spacegroup="Cmmm (65)" e_form_raw_ev_per_atom=0.34 pbc="T T T"
In 0.000 0.000 0.000
In 4.139 0.436 1.379
Mo -0.784 2.621 1.317
Se 2.069 2.221 0.056

=====

4
Lattice="3.504 -2.887 0.658 1.201 -1.217 4.257 -0.793 -4.271 1.474" Properties=species:S:1:pos:R:3 comment="InMo2Se (GGA-PBE, optimized geometry)" spacegroup="Fm-3m (225)" e_above_lowest_polymorph_ev_per_fu=1.84 e_form_raw_ev_per_atom=0.53 pbc="T T T"
Mo 0.978 -2.094 1.597
Mo 2.934 -6.282 4.791
Se 0.000 0.000 0.000
In 1.956 -4.188 3.194

=====

4
Lattice="2.195 0.000 8.259 -1.097 1.901 8.259 -1.097 -1.901 8.259" Properties=species:S:1:pos:R:3 comment="InMoSe2 (GGA-PBE, optimized geometry)" spacegroup="R-3m (166)" e_form_raw_ev_per_atom=0.47 pbc="T T T"
Mo 0.000 0.000 0.000
Se 0.000 0.000 22.330
Se 0.000 0.000 2.448
In 0.000 0.000 12.389

=====

4
Lattice="-3.852 -4.186 -5.043 -1.772 -6.173 -4.068 -2.987 -2.047 2.201" Properties=species:S:1:pos:R:3 comment="In2MoSe (GGA-PBE, optimized geometry)" spacegroup="Immm (71)" e_form_raw_ev_per_atom=0.21 pbc="T T T"
In -3.164 -2.607 1.437
In -4.129 -5.643 -2.691
Mo -6.459 -9.305 -5.183
Se -2.153 -3.102 -1.728

=====

4
Lattice="8.521 0.010 0.006 7.826 3.372 0.006 7.826 1.619 2.958" Properties=species:S:1:pos:R:3 comment="In2MoSe (GGA-PBE, optimized geometry)" spacegroup="R-3m (166)" e_form_raw_ev_per_atom=0.36 pbc="T T T"
In 24.162 5.000 2.969
In 12.096 2.503 1.486
Mo 18.129 3.752 2.228
Se 6.043 1.251 0.743

=====

4
Lattice="-2.327 -1.685 -1.275 1.739 -0.450 -2.579 3.428 -7.467 3.613" Properties=species:S:1:pos:R:3 comment="In2MoSe (GGA-PBE, optimized geometry)" spacegroup="P4mm (99)" e_form_raw_ev_per_atom=-0.02 pbc="T T T"
In 0.012 -0.026 0.012
In 0.722 -3.281 -0.856
Mo 1.802 -3.926 1.900
Se 2.017 -6.103 0.510

=====

4
Lattice="-1.803 -1.596 -4.346 -2.735 -3.615 -2.035 -4.899 1.967 -0.256" Properties=species:S:1:pos:R:3 comment="InMo2Se (GGA-PBE, optimized geometry)" spacegroup="Cm (8)" e_above_lowest_polymorph_ev_per_fu=1.00 e_form_raw_ev_per_atom=0.32 pbc="T T T"
In -2.220 -0.920 -1.699
Mo -4.785 1.748 -0.402
Mo -6.937 -2.399 -4.892
Se -5.112 -1.327 -3.220

=====

5
Lattice="5.011 0.000 0.000 0.000 5.011 0.000 0.000 0.000 5.011" Properties=species:S:1:pos:R:3 comment="InMoSe3 (GGA-PBE, optimized geometry)" spacegroup="Pm-3m (221)" e_above_lowest_polymorph_ev_per_fu=0.00 e_form_raw_ev_per_atom=-0.04 pbc="T T T"
Mo 0.000 0.000 0.000
Se 0.000 2.506 0.000
Se 0.000 0.000 2.506
Se 2.506 0.000 0.000
In 2.506 2.506 2.506

=====

3
Lattice="-3.862 0.431 5.377 -4.724 -2.260 4.072 1.593 -1.563 2.170" Properties=species:S:1:pos:R:3 comment="InMoSe (GGA-PBE, optimized geometry)" spacegroup="I4mm (107)" e_above_lowest_polymorph_ev_per_fu=0.23 e_form_raw_ev_per_atom=0.00 pbc="T T T"
In -8.383 -1.824 9.304
Mo -1.606 -1.646 4.458
Se -5.589 -1.751 7.306

=====

4
Lattice="-2.541 -1.701 1.085 2.977 -1.276 0.191 1.133 3.973 8.877" Properties=species:S:1:pos:R:3 comment="InMoSe2 (GGA-PBE, optimized geometry)" spacegroup="Cmmm (65)" e_form_raw_ev_per_atom=0.16 pbc="T T T"
In 0.501 -0.495 2.858
Mo 1.068 1.491 7.296
Se 1.073 3.762 8.405
Se 0.627 2.198 4.911

=====

Number 1: N(E_F) 0.87 states/eV/atom. Number 2: N(E_F) 0.84 states/eV/atom. Number 3: N(E_F) 0.70 states/eV/atom. Number 4: N(E_F) 1.68 states/eV/atom. Number 5: N(E_F) 0.57 states/eV/atom. Number 6: N(E_F) 1.01 states/eV/atom. Number 7: N(E_F) 0.83 states/eV/atom. Number 8: N(E_F) 0.69 states/eV/atom. Number 9: N(E_F) 1.01 states/eV/atom. Number 10: N(E_F) 0.77 states/eV/atom. Number 11: N(E_F) 0.79 states/eV/atom. Number 12: N(E_F) 0.96 states/eV/atom.